This record from OQMD describes a relaxed NaCo2 crystal. The functional is PBE. Values from VASP.

Quantum ESPRESSO input file:
```
&SYSTEM
  ibrav = 0, nat = 24, ntyp = 2
/
ATOMIC_SPECIES
Na 22.99 Na.upf
Co 58.93 Co.upf
ATOMIC_POSITIONS angstrom
Na 0.000 0.000 1.501
Na 0.000 0.000 6.550
Na 0.000 0.000 9.553
Na 0.000 0.000 14.602
Na 0.000 2.850 2.514
Na 0.000 2.850 5.538
Na 2.468 1.425 10.566
Na 2.468 1.425 13.590
Co -1.234 2.137 0.000
Co -1.234 2.137 8.052
Co 0.000 1.394 12.078
Co -1.261 3.578 12.078
Co 1.207 0.697 4.026
Co 0.000 2.850 10.149
Co 0.000 2.850 14.007
Co 2.468 0.000 0.000
Co 2.468 0.000 8.052
Co 1.234 2.137 0.000
Co 1.234 2.137 8.052
Co 2.468 1.425 2.097
Co 2.468 1.425 5.955
Co 1.261 3.578 12.078
Co 3.729 0.697 4.026
Co 2.468 2.881 4.026
CELL_PARAMETERS angstrom
4.936 0.000 0.000
-2.468 4.275 0.000
0.000 0.000 16.104
```

Properties
spin magnetization: 25.09 μB/cell
calculated total energy: -14.1 eV per formula unit

This record from OQMD describes a relaxed Na2Co crystal. The functional is PBE. Values from VASP.

Quantum ESPRESSO input file:
```
&SYSTEM
  ibrav = 0, nat = 3, ntyp = 2
/
ATOMIC_SPECIES
Na 22.99 Na.upf
Co 58.93 Co.upf
ATOMIC_POSITIONS angstrom
Na 1.736 1.736 1.736
Na 5.209 5.209 5.209
Co 0.000 0.000 0.000
CELL_PARAMETERS angstrom
0.000 3.472 3.472
3.472 0.000 3.472
3.472 3.472 0.000
```

Properties
spin magnetization: 1.80 μB/cell
offset from the most stable computed form: 0.00 eV per formula unit
calculated total energy: -6.9 eV per formula unit